MnZnO2 | Alexandria | GGA+U | relaxed; DOS(E_F) = 0.025 states/eV/atom; final energy = -6.127 eV per atom
1.0
2.818 -1.627 0.000
0.000 3.254 0.000
0.000 0.000 5.327
O Mn Zn
2 1 1
direct
0.667 0.333 0.266
0.333 0.667 0.792
0.000 0.000 0.965
0.333 0.667 0.432